1.
# YAs2Os2 GGA-PBE optimized geometry
data_YAs2Os2
_symmetry_space_group_name_H-M 'I 4/m m m'
_symmetry_Int_Tables_number 139
_symmetry_space_group_name_Hall '-I 4 2'
_cell_length_a 4.242
_cell_length_b 4.242
_cell_length_c 10.070
_cell_angle_alpha 90.00
_cell_angle_beta 90.00
_cell_angle_gamma 90.00
loop_
_atom_site_label
_atom_site_fract_x
_atom_site_fract_y
_atom_site_fract_z
Y1 0.000 0.000 0.000
As1 0.000 0.000 0.372
Os1 0.000 0.500 0.250
# energy of formation	-0.354	eV per atom
# ΔE to the lowest computed polymorph	0.00	eV/f.u.

***

2.
# Ru2SCl GGA-PBE optimized geometry
data_Ru2SCl
_symmetry_space_group_name_H-M 'I -4 2 d'
_symmetry_Int_Tables_number 122
_symmetry_space_group_name_Hall 'I -4 2bw'
_cell_length_a 5.283
_cell_length_b 5.283
_cell_length_c 10.843
_cell_angle_alpha 90.00
_cell_angle_beta 90.00
_cell_angle_gamma 90.00
loop_
_atom_site_label
_atom_site_fract_x
_atom_site_fract_y
_atom_site_fract_z
Ru1 0.205 0.250 0.125
S1 0.000 0.000 0.000
Cl1 0.000 0.000 0.500
# ΔE to the lowest computed polymorph	0.00	eV/f.u.

***

3.
# LaRu GGA-PBE optimized geometry
data_LaRu
_symmetry_space_group_name_H-M 'P -3 m 1'
_symmetry_Int_Tables_number 164
_symmetry_space_group_name_Hall '-P 3 2"'
_cell_length_a 3.9679
_cell_length_b 3.9679
_cell_length_c 8.4529
_cell_angle_alpha 90.00
_cell_angle_beta 90.00
_cell_angle_gamma 120.00
loop_
_atom_site_label
_atom_site_fract_x
_atom_site_fract_y
_atom_site_fract_z
La1 0.3333 0.6667 0.3052
Ru1 0.3333 0.6667 0.9593
# energy of formation	0.182	eV per atom

***

4.
# TlCo2Si GGA-PBE optimized geometry
data_TlCo2Si
_symmetry_space_group_name_H-M 'R -3 m'
_symmetry_Int_Tables_number 166
_symmetry_space_group_name_Hall '-R 3 2"'
_cell_length_a 2.9688
_cell_length_b 2.9688
_cell_length_c 22.8459
_cell_angle_alpha 90.00
_cell_angle_beta 90.00
_cell_angle_gamma 120.00
loop_
_atom_site_label
_atom_site_fract_x
_atom_site_fract_y
_atom_site_fract_z
Tl1 0.0000 0.0000 0.0000
Co1 0.0000 0.0000 0.2359
Si1 0.0000 0.0000 0.5000
# ΔE to the lowest computed polymorph	0.81	eV/f.u.

***

5.
# LiAc2Tc2N6 GGA-PBE optimized geometry
data_LiAc2Tc2N6
_symmetry_space_group_name_H-M 'R -3 m'
_symmetry_Int_Tables_number 166
_symmetry_space_group_name_Hall '-R 3 2"'
_cell_length_a 5.7474
_cell_length_b 5.7474
_cell_length_c 18.7901
_cell_angle_alpha 90.00
_cell_angle_beta 90.00
_cell_angle_gamma 120.00
loop_
_atom_site_label
_atom_site_fract_x
_atom_site_fract_y
_atom_site_fract_z
Li1 0.0000 0.0000 0.0000
Ac1 0.0000 0.0000 0.2109
Tc1 0.0000 0.0000 0.3987
N1 0.0047 0.5024 0.7626
# raw total energy	-7.7515	eV/atom

***

6.
# Ni2Te2As GGA-PBE optimized geometry
data_Ni2Te2As
_symmetry_space_group_name_H-M 'P 4/m b m'
_symmetry_Int_Tables_number 127
_symmetry_space_group_name_Hall '-P 4 2ab'
_cell_length_a 7.175
_cell_length_b 7.175
_cell_length_c 3.543
_cell_angle_alpha 90.00
_cell_angle_beta 90.00
_cell_angle_gamma 90.00
loop_
_atom_site_label
_atom_site_fract_x
_atom_site_fract_y
_atom_site_fract_z
Ni1 0.126 0.374 0.000
Te1 0.163 0.663 0.500
As1 0.000 0.000 0.000
# raw total energy	-4.3252	eV/atom

***

7.
# GdCdGaCu GGA-PBE optimized geometry
data_GdCdGaCu
_symmetry_space_group_name_H-M 'F -4 3 m'
_symmetry_Int_Tables_number 216
_symmetry_space_group_name_Hall 'F -4 2 3'
_cell_length_a 6.814
_cell_length_b 6.814
_cell_length_c 6.814
_cell_angle_alpha 90.00
_cell_angle_beta 90.00
_cell_angle_gamma 90.00
loop_
_atom_site_label
_atom_site_fract_x
_atom_site_fract_y
_atom_site_fract_z
Gd1 0.000 0.000 0.000
Cd1 0.000 0.000 0.500
Ga1 0.250 0.250 0.750
Cu1 0.250 0.250 0.250
# energy of formation	-0.302	eV per atom

***

8.
# BaAsNF2 GGA-PBE optimized geometry
data_BaAsNF2
_symmetry_space_group_name_H-M 'P 4/m m m'
_symmetry_Int_Tables_number 123
_symmetry_space_group_name_Hall '-P 4 2'
_cell_length_a 4.829
_cell_length_b 4.829
_cell_length_c 5.210
_cell_angle_alpha 90.00
_cell_angle_beta 90.00
_cell_angle_gamma 90.00
loop_
_atom_site_label
_atom_site_fract_x
_atom_site_fract_y
_atom_site_fract_z
Ba1 0.000 0.000 0.000
As1 0.500 0.500 0.500
N1 0.000 0.000 0.500
F1 0.000 0.500 0.000
# ΔE to the lowest computed polymorph	5.79	eV/f.u.

***

9.
# LiSi2TeO6 GGA-PBE optimized geometry
data_LiSi2TeO6
_symmetry_space_group_name_H-M 'C 1 2/c 1'
_symmetry_Int_Tables_number 15
_symmetry_space_group_name_Hall '-C 2yc'
_cell_length_a 10.156
_cell_length_b 9.519
_cell_length_c 5.305
_cell_angle_alpha 90.00
_cell_angle_beta 107.92
_cell_angle_gamma 90.00
loop_
_atom_site_label
_atom_site_fract_x
_atom_site_fract_y
_atom_site_fract_z
Li1 0.000 0.087 0.250
Si1 0.225 0.410 0.240
Te1 0.000 0.280 0.750
O1 0.104 0.099 0.657
O2 0.140 0.263 0.152
O3 0.177 0.486 0.475
# raw total energy	-6.6360	eV/atom

***

10.
# Ba10Bi3Sb3 GGA-PBE optimized geometry
data_Ba10Bi3Sb3
_symmetry_space_group_name_H-M 'P -6 2 m'
_symmetry_Int_Tables_number 189
_symmetry_space_group_name_Hall 'P -6 -2'
_cell_length_a 10.2134
_cell_length_b 10.2134
_cell_length_c 7.9524
_cell_angle_alpha 90.00
_cell_angle_beta 90.00
_cell_angle_gamma 120.00
loop_
_atom_site_label
_atom_site_fract_x
_atom_site_fract_y
_atom_site_fract_z
Ba1 0.0000 0.2549 0.0000
Ba2 0.0000 0.7441 0.5000
Ba3 0.3333 0.6667 0.2532
Bi1 0.0000 0.6084 0.0000
Sb1 0.0000 0.3906 0.5000
# raw total energy	-3.6487	eV/atom

***

11.
# Pr4Er GGA-PBE optimized geometry
data_Pr4Er
_symmetry_space_group_name_H-M 'R -3 m'
_symmetry_Int_Tables_number 166
_symmetry_space_group_name_Hall '-R 3 2"'
_cell_length_a 3.6739
_cell_length_b 3.6739
_cell_length_c 44.9056
_cell_angle_alpha 90.00
_cell_angle_beta 90.00
_cell_angle_gamma 120.00
loop_
_atom_site_label
_atom_site_fract_x
_atom_site_fract_y
_atom_site_fract_z
Pr1 0.0000 0.0000 0.1021
Pr2 0.0000 0.0000 0.2994
Er1 0.0000 0.0000 0.5000
# energy of formation	0.013	eV per atom
# ΔE to the lowest computed polymorph	0.00	eV/f.u.

***

12.
# ZrHgW GGA-PBE optimized geometry
data_ZrHgW
_symmetry_space_group_name_H-M 'I m m 2'
_symmetry_Int_Tables_number 44
_symmetry_space_group_name_Hall 'I 2 -2'
_cell_length_a 3.173
_cell_length_b 3.874
_cell_length_c 9.612
_cell_angle_alpha 90.00
_cell_angle_beta 90.00
_cell_angle_gamma 90.00
loop_
_atom_site_label
_atom_site_fract_x
_atom_site_fract_y
_atom_site_fract_z
Zr1 0.000 0.000 0.000
Hg1 0.000 0.000 0.680
W1 0.000 0.000 0.344
# energy of formation	0.383	eV per atom
# ΔE to the lowest computed polymorph	0.25	eV/f.u.